7
Lattice="4.894 0.000 0.000 0.000 4.894 0.000 0.000 0.000 7.294" Properties=species:S:1:pos:R:3 comment="GGA-PBE PrHg5Pd, optimized geometry" n_ef_per_ev_atom=0.64 e_form_kj_per_mol_fu=-206 pbc="T T T"
Pr 0.000 0.000 0.000
Hg 0.000 2.447 2.157
Hg 0.000 2.447 5.137
Hg 2.447 0.000 2.157
Hg 2.447 0.000 5.137
Hg 2.447 2.447 0.000
Pd 0.000 0.000 3.647

16
Lattice="7.059 0.000 0.000 0.000 12.821 0.000 0.000 0.000 5.250" Properties=species:S:1:pos:R:3 comment="GGA-PBE Pr5Hg2Pd, optimized geometry" n_ef_per_ev_atom=0.95 e_form_kj_per_mol_fu=-313 pbc="T T T"
Pr 0.000 0.000 0.000
Pr 0.963 3.679 0.000
Pr 1.172 7.654 2.625
Pr 2.357 1.243 2.625
Pr 2.567 10.090 0.000
Pr 3.529 6.411 0.000
Pr 4.492 2.731 0.000
Pr 4.702 11.578 2.625
Pr 5.887 5.167 2.625
Pr 6.096 9.142 0.000
Hg 0.761 10.886 2.625
Hg 2.768 4.475 2.625
Hg 4.291 8.346 2.625
Hg 6.298 1.935 2.625
Pd 0.000 6.411 0.000
Pd 3.529 0.000 0.000

11
Lattice="4.126 -5.737 0.000 4.126 5.737 0.000 0.000 0.000 7.450" Properties=species:S:1:pos:R:3 comment="GGA-PBE Pr7Hg2Pd2, optimized geometry" n_ef_per_ev_atom=1.15 e_form_kj_per_mol_fu=-312 pbc="T T T"
Pr 0.000 0.000 0.000
Pr 2.063 2.868 1.947
Pr 2.063 2.868 5.502
Pr 2.063 -2.868 1.947
Pr 2.063 -2.868 5.502
Pr 4.126 0.000 1.886
Pr 4.126 0.000 5.563
Hg 1.446 0.000 3.725
Hg 6.807 0.000 3.725
Pd 4.126 2.399 0.000
Pd 4.126 -2.399 0.000

11
Lattice="-2.096 4.022 7.636 2.096 -4.022 7.636 2.096 4.022 -7.636" Properties=species:S:1:pos:R:3 comment="GGA-PBE Pr3Hg4Pd4, optimized geometry" n_ef_per_ev_atom=0.60 e_form_kj_per_mol_fu=-598 pbc="T T T"
Pr 0.000 0.000 0.000
Pr 2.096 0.000 5.728
Pr 0.000 4.022 1.907
Hg 2.096 1.574 -2.545
Hg 2.096 1.574 2.545
Hg 0.000 2.448 5.091
Hg 0.000 2.448 10.181
Pd 0.000 0.000 3.479
Pd 2.096 2.582 0.000
Pd 0.000 1.440 7.636
Pd 0.000 0.000 11.793

14
Lattice="12.164 0.000 0.000 0.000 4.349 0.000 -2.164 0.000 6.207" Properties=species:S:1:pos:R:3 comment="GGA-PBE Pr2Hg2Pd3, optimized geometry" n_ef_per_ev_atom=0.50 e_form_kj_per_mol_fu=-365 pbc="T T T"
Pr 0.782 0.000 1.922
Pr 3.137 2.174 4.285
Pr 6.864 2.174 1.922
Pr 9.219 0.000 4.285
Hg -0.181 2.174 4.281
Hg 4.099 0.000 1.926
Hg 5.901 0.000 4.281
Hg 10.181 2.174 1.926
Pd 0.000 2.174 0.000
Pd 2.644 2.174 0.938
Pd 1.275 0.000 5.269
Pd 6.082 0.000 0.000
Pd 8.726 0.000 0.938
Pd 7.357 2.174 5.269

12
Lattice="8.537 -3.828 0.000 8.537 3.828 0.000 -1.707 0.000 5.139" Properties=species:S:1:pos:R:3 comment="GGA-PBE Pr6Hg5Pd, optimized geometry" n_ef_per_ev_atom=1.07 e_form_kj_per_mol_fu=-582 pbc="T T T"
Pr 5.227 1.989 1.745
Pr 8.537 2.022 0.000
Pr 10.140 1.989 3.394
Pr 5.227 -1.989 1.745
Pr 8.537 -2.022 0.000
Pr 10.140 -1.989 3.394
Hg 2.748 0.000 0.924
Hg 4.265 0.000 4.280
Hg 7.684 0.000 2.570
Hg 11.102 0.000 0.859
Hg 12.619 0.000 4.215
Pd -0.853 0.000 2.570

17
Lattice="-4.365 4.365 4.365 4.365 -4.365 4.365 4.365 4.365 -4.365" Properties=species:S:1:pos:R:3 comment="GGA-PBE Pr4HgPd12, optimized geometry" n_ef_per_ev_atom=0.31 e_form_kj_per_mol_fu=-1161 pbc="T T T"
Pr 2.183 2.183 -2.183
Pr 2.183 -2.183 2.183
Pr -2.183 2.183 2.183
Pr 2.183 2.183 2.183
Hg 0.000 0.000 0.000
Pd 2.679 0.000 0.000
Pd 6.051 0.000 0.000
Pd 4.365 2.183 0.000
Pd 4.365 0.000 2.183
Pd 0.000 2.679 0.000
Pd 0.000 0.000 2.679
Pd 2.183 4.365 0.000
Pd 2.183 0.000 4.365
Pd 0.000 6.051 0.000
Pd 0.000 0.000 6.051
Pd 0.000 4.365 2.183
Pd 0.000 2.183 4.365

11
Lattice="7.831 0.000 0.000 0.000 3.836 0.000 -0.693 0.000 9.686" Properties=species:S:1:pos:R:3 comment="GGA-PBE Pr4Hg5Pd2, optimized geometry" n_ef_per_ev_atom=0.76 e_form_kj_per_mol_fu=-592 pbc="T T T"
Pr 1.181 0.000 3.477
Pr 1.213 0.000 9.042
Pr 5.926 0.000 0.644
Pr 5.957 0.000 6.209
Hg 0.863 1.918 6.250
Hg 3.389 1.918 1.711
Hg 3.569 1.918 4.843
Hg 3.750 1.918 7.975
Hg 6.276 1.918 3.436
Pd 0.470 1.918 1.304
Pd 6.668 1.918 8.382

10
Lattice="5.111 -7.665 0.000 5.111 7.665 0.000 0.000 0.000 4.060" Properties=species:S:1:pos:R:3 comment="GGA-PBE Pr3HgPd, optimized geometry" n_ef_per_ev_atom=0.97 e_form_kj_per_mol_fu=-172 pbc="T T T"
Pr 5.111 5.131 0.000
Pr 3.119 1.771 2.030
Pr 3.119 -1.771 2.030
Pr 7.103 1.771 2.030
Pr 7.103 -1.771 2.030
Pr 5.111 -5.131 0.000
Hg 0.000 0.000 2.030
Hg 5.111 0.000 0.000
Pd 2.556 3.833 0.000
Pd 2.556 -3.833 0.000

12
Lattice="-2.437 3.241 7.215 2.437 -3.241 7.215 2.437 3.241 -7.215" Properties=species:S:1:pos:R:3 comment="GGA-PBE PrHg5Pd6, optimized geometry" n_ef_per_ev_atom=0.43 e_form_kj_per_mol_fu=-353 pbc="T T T"
Pr 0.000 0.000 0.000
Hg 2.437 0.000 2.275
Hg 0.000 0.000 4.740
Hg 0.000 3.241 0.000
Hg 0.000 0.000 9.691
Hg 0.000 3.241 4.941
Pd 2.437 -1.543 4.741
Pd 2.437 1.786 0.000
Pd 0.000 1.699 2.475
Pd 2.437 1.543 4.741
Pd 0.000 1.456 7.215
Pd 0.000 4.784 2.475

18
Lattice="6.375 0.000 0.000 0.000 8.308 0.000 -6.051 0.000 10.776" Properties=species:S:1:pos:R:3 comment="GGA-PBE Pr6Hg2Pd, optimized geometry" n_ef_per_ev_atom=1.31 e_form_kj_per_mol_fu=-249 pbc="T T T"
Pr -2.193 1.678 4.854
Pr -5.218 2.476 10.242
Pr -0.769 5.446 4.850
Pr -3.795 7.016 10.239
Pr 0.910 0.292 2.619
Pr -2.115 3.862 8.007
Pr 2.440 4.446 2.769
Pr -0.586 8.016 8.157
Pr 4.119 1.292 0.538
Pr 1.094 2.862 5.926
Pr 5.543 5.832 0.534
Pr 2.518 6.630 5.922
Hg -3.562 0.939 7.901
Hg -0.537 3.215 2.513
Hg 0.862 5.093 8.263
Hg 3.887 7.369 2.875
Pd 0.162 0.000 5.388
Pd 3.188 4.154 0.000

4
Lattice="3.725 0.000 0.000 0.000 3.725 0.000 0.000 0.000 7.648" Properties=species:S:1:pos:R:3 comment="GGA-PBE Pr2HgPd, optimized geometry" n_ef_per_ev_atom=0.94 e_form_kj_per_mol_fu=-226 pbc="T T T"
Pr 0.000 0.000 1.760
Pr 0.000 0.000 5.888
Hg 1.863 1.863 3.824
Pd 1.863 1.863 0.000